1.
DFT (GGA-PBE) results for a relaxed structure of RbWSe2. Values from VASP.

Calculated values
- DOS at the Fermi energy: 6.353 states/eV/cell
- Spin magnetization: 0.30 μB per formula unit
- Relative energy among the computed polymorphs: 0.000 eV per atom
- Raw formation energy: -0.203 eV per atom

Structure (Quantum ESPRESSO input):
```
&SYSTEM
  ibrav = 0, nat = 8, ntyp = 3
/
ATOMIC_SPECIES
W 183.84 W.upf
Rb 85.47 Rb.upf
Se 78.96 Se.upf
ATOMIC_POSITIONS angstrom
W -1.086 -8.553 1.928
W 0.000 0.000 0.000
Rb 4.175 -7.400 2.424
Rb 1.161 -5.283 -0.022
Se 4.178 -3.971 1.392
Se 0.686 -7.514 3.224
Se 3.366 -13.774 3.314
Se -2.053 -6.647 0.773
CELL_PARAMETERS angstrom
-4.100 -6.436 -0.518
6.422 -4.129 0.474
0.767 -5.388 4.395
```

2.
DFT (GGA-PBE) results for a relaxed structure of LaPr7Al4. Values from VASP.

Calculated values
- DOS at the Fermi energy: 12.532 states/eV/cell
- Spin magnetization: 0.38 μB per formula unit
- Energy of formation from the pure elements: -72 meV per atom

Structure (Quantum ESPRESSO input):
```
&SYSTEM
  ibrav = 0, nat = 12, ntyp = 3
/
ATOMIC_SPECIES
Pr 140.91 Pr.upf
Al 26.98 Al.upf
La 138.91 La.upf
ATOMIC_POSITIONS angstrom
Pr -0.406 1.354 -2.505
Pr -4.570 2.557 -4.483
Pr -8.788 4.142 -2.943
Pr -3.070 3.286 -1.029
Pr -10.288 3.413 -6.397
Pr -7.051 6.379 -5.317
Pr -6.306 0.320 -2.108
Al -10.191 6.513 -4.736
Al -5.141 5.147 -2.990
Al -3.166 0.186 -2.689
Al -8.217 1.552 -4.435
La 0.000 0.000 0.000
CELL_PARAMETERS angstrom
-0.811 2.708 -5.010
-8.540 -2.488 -3.264
-4.007 6.479 0.848
```

3.
DFT (GGA-PBE) results for a relaxed structure of Pm3Tc2C3. Values from VASP.

Calculated values
- DOS at the Fermi energy: 9.181 states/eV/cell
- Spin magnetization: 0.00 μB per formula unit
- Energy of formation from the pure elements: 93 meV per atom

Structure (Quantum ESPRESSO input):
```
&SYSTEM
  ibrav = 0, nat = 16, ntyp = 3
/
ATOMIC_SPECIES
C 12.01 C.upf
Tc 98.00 Tc.upf
Pm 145.00 Pm.upf
ATOMIC_POSITIONS angstrom
C -4.493 1.681 4.180
C -3.454 1.254 7.388
C -1.447 -0.767 4.792
C -1.668 -1.452 0.902
C -6.280 4.388 10.665
C -6.500 3.703 6.775
Tc -7.613 4.186 9.051
Tc -0.335 -1.250 2.516
Tc -2.734 1.410 5.299
Tc -5.214 1.525 6.268
Pm -3.050 -0.183 2.852
Pm -3.758 -1.339 6.221
Pm -4.898 3.118 8.715
Pm -1.893 -3.407 4.058
Pm -4.189 4.274 5.346
Pm -6.055 6.343 7.510
CELL_PARAMETERS angstrom
-2.935 -1.473 -1.122
1.874 -3.228 4.702
-6.887 7.637 7.987
```

4.
DFT (GGA-PBE) results for a relaxed structure of SrGaFeRu2. Values from VASP.

Calculated values
- DOS at the Fermi energy: 8.408 states/eV/cell
- Spin magnetization: 5.10 μB per formula unit
- Energy of formation from the pure elements: 2322 meV per atom

Structure (Quantum ESPRESSO input):
```
&SYSTEM
  ibrav = 0, nat = 5, ntyp = 4
/
ATOMIC_SPECIES
Ru 101.07 Ru.upf
Fe 55.84 Fe.upf
Sr 87.62 Sr.upf
Ga 69.72 Ga.upf
ATOMIC_POSITIONS angstrom
Ru 2.461 0.000 0.000
Ru 0.000 0.000 2.461
Fe 0.000 2.384 0.000
Sr 0.000 0.000 0.000
Ga 2.461 2.384 2.461
CELL_PARAMETERS angstrom
4.922 0.000 0.000
0.000 4.767 0.000
0.000 0.000 4.922
```